Entry 1:
A relaxed structure of TePd16. Source: OQMD via LeMat-Bulk, functional PBE-GGA.

a b c (Å): 4.7950 6.1457 29.1335
angles (deg): 89.51 89.98 75.44
Positions (direct):
Te1 0.0642 0.0347 0.2961
Te2 0.9358 0.9653 0.7039
Pd1 0.0648 0.5378 0.9183
Pd2 0.0723 0.5333 0.1733
Pd3 0.0752 0.0331 0.0455
Pd4 0.0750 0.0333 0.7917
Pd5 0.2074 0.6124 0.2658
Pd6 0.2078 0.1104 0.8817
Pd7 0.2154 0.6068 0.0090
Pd8 0.2208 0.1054 0.1362
Pd9 0.2217 0.6024 0.7502
Pd10 0.3537 0.1883 0.2289
Pd11 0.3535 0.6801 0.8450
Pd12 0.3548 0.1801 0.9729
Pd13 0.3643 0.6754 0.1002
Pd14 0.3685 0.1662 0.7158
Pd15 0.4942 0.7526 0.9362
Pd16 0.4975 0.2535 0.8084
Pd17 0.5025 0.7465 0.1916
Pd18 0.5058 0.2474 0.0638
Pd19 0.6315 0.8338 0.2842
Pd20 0.6357 0.3246 0.8998
Pd21 0.6452 0.8199 0.0271
Pd22 0.6465 0.3199 0.1550
Pd23 0.6463 0.8117 0.7711
Pd24 0.7783 0.3976 0.2498
Pd25 0.7792 0.8946 0.8638
Pd26 0.7846 0.3932 0.9910
Pd27 0.7922 0.8896 0.1183
Pd28 0.7926 0.3876 0.7342
Pd29 0.9250 0.9667 0.2083
Pd30 0.9248 0.9670 0.9545
Pd31 0.9277 0.4667 0.8267
Pd32 0.9352 0.4622 0.0817

- Total energy: -5.060 eV/atom
- Energy above the lowest structure with this stoichiometry: 0 meV/atom

Entry 2:
A relaxed structure of ScReNO. Source: OQMD via LeMat-Bulk, functional PBE-GGA.

a b c (Å): 5.3100 7.5528 4.9557
angles (deg): 90.00 90.00 90.00
Positions (direct):
Sc1 0.0241 0.1310 0.0000
Sc2 0.4759 0.1310 0.5000
Sc3 0.5241 0.8690 0.0000
Sc4 0.9759 0.8690 0.5000
Re1 0.1209 0.4822 0.6689
Re2 0.3791 0.4822 0.1689
Re3 0.6209 0.5178 0.6689
Re4 0.8791 0.5178 0.1689
N1 0.0991 0.3276 0.3382
N2 0.4009 0.3276 0.8382
N3 0.5991 0.6724 0.3382
N4 0.9009 0.6724 0.8382
O1 0.2495 0.9767 0.7429
O2 0.2505 0.9767 0.2429
O3 0.7495 0.0233 0.7429
O4 0.7505 0.0233 0.2429

- Total energy: -9.607 eV/atom
- Energy above the lowest structure with this stoichiometry: 0 meV/atom

Entry 3:
A relaxed structure of GdMgZn. Source: OQMD via LeMat-Bulk, functional PBE-GGA.

a b c (Å): 4.9577 4.9577 9.7384
angles (deg): 90.00 90.00 120.00
Positions (direct):
Gd1 0.0000 0.0000 0.0000
Gd2 0.0000 0.0000 0.3775
Gd3 0.6667 0.3333 0.6116
Mg1 0.3333 0.6667 0.1717
Mg2 0.3333 0.6667 0.8131
Mg3 0.6667 0.3333 0.2110
Zn1 0.0000 0.0000 0.6957
Zn2 0.3333 0.6667 0.4971
Zn3 0.6667 0.3333 0.9129

- Total energy: -2.717 eV/atom

Entry 4:
A relaxed structure of ScCoNiB. Source: OQMD via LeMat-Bulk, functional PBE-GGA.

a b c (Å): 4.0563 4.0563 4.0563
angles (deg): 60.00 60.00 60.00
Positions (direct):
Sc1 0.0000 0.0000 0.0000
Co1 0.2500 0.2500 0.2500
Ni1 0.5000 0.5000 0.5000
B1 0.7500 0.7500 0.7500

- Total energy: -6.269 eV/atom
- Energy above the lowest structure with this stoichiometry: 160 meV/atom

Q: Which of these has the highest total energy?
A: GdMgZn